No. 1
First-principles (GGA-PBE) data for an optimized crystal structure of ErPu2In, as listed in Alexandria via LeMat-Bulk.

Summary:
**Symmetry**: No. 225
**Calculated total energy**: -8.90 eV per atom
**E_form**: 0.37 eV/f.u.
**M_tot**: 48.9 μB per cell

Cell lengths 7.590, 7.590, 7.590 Å; angles 90.00, 90.00, 90.00 degrees
Positions (direct):
Er  0.000  0.000  0.000
Er  0.000  0.500  0.500
Er  0.500  0.000  0.500
Er  0.500  0.500  0.000
Pu  0.250  0.250  0.250
Pu  0.250  0.250  0.750
Pu  0.250  0.750  0.250
Pu  0.250  0.750  0.750
Pu  0.750  0.250  0.250
Pu  0.750  0.250  0.750
Pu  0.750  0.750  0.250
Pu  0.750  0.750  0.750
In  0.000  0.000  0.500
In  0.000  0.500  0.000
In  0.500  0.000  0.000
In  0.500  0.500  0.500

No. 2
First-principles (GGA-PBE) data for an optimized crystal structure of ErPuIn4, as listed in Alexandria via LeMat-Bulk.

Summary:
**Symmetry**: No. 216
**Calculated total energy**: -5.16 eV per atom
**E_form**: -1.09 eV/f.u.
**M_tot**: 6.6 μB per cell

Cell lengths 6.015, 6.015, 6.015 Å; angles 60.00, 60.00, 60.00 degrees
Positions (direct):
Er  0.000  0.000  0.000
Pu  0.250  0.250  0.250
In  0.125  0.625  0.625
In  0.625  0.125  0.625
In  0.625  0.625  0.125
In  0.625  0.625  0.625

No. 3
First-principles (GGA-PBE) data for an optimized crystal structure of ErPuIn4, as listed in Alexandria via LeMat-Bulk.

Summary:
**Symmetry**: No. 10
**Calculated total energy**: -5.24 eV per atom
**E_form**: -1.61 eV/f.u.
**M_tot**: 6.0 μB per cell

Cell lengths 3.413, 5.052, 8.840 Å; angles 90.00, 90.00, 90.00 degrees
Positions (direct):
Er  0.000  0.000  0.000
Pu  0.000  0.500  0.500
In  0.498  0.000  0.331
In  0.498  0.500  0.836
In  0.502  0.000  0.669
In  0.502  0.500  0.164

No. 4
First-principles (GGA-PBE) data for an optimized crystal structure of ErPu2In, as listed in Alexandria via LeMat-Bulk.

Summary:
**Symmetry**: No. 123
**Calculated total energy**: -9.11 eV per atom
**E_form**: -0.48 eV/f.u.
**M_tot**: 11.9 μB per cell

Cell lengths 4.528, 4.528, 5.128 Å; angles 90.00, 90.00, 90.00 degrees
Positions (direct):
Er  0.000  0.000  0.000
Pu  0.000  0.500  0.500
Pu  0.500  0.000  0.500
In  0.500  0.500  0.000

No. 5
First-principles (GGA-PBE) data for an optimized crystal structure of ErPuInSn, as listed in Alexandria via LeMat-Bulk.

Summary:
**Symmetry**: No. 216
**Calculated total energy**: -6.75 eV per atom
**E_form**: -1.38 eV/f.u.
**M_tot**: 24.4 μB per cell

Cell lengths 7.519, 7.519, 7.519 Å; angles 90.00, 90.00, 90.00 degrees
Positions (direct):
Er  0.000  0.000  0.000
Er  0.000  0.500  0.500
Er  0.500  0.000  0.500
Er  0.500  0.500  0.000
Pu  0.000  0.000  0.500
Pu  0.000  0.500  0.000
Pu  0.500  0.000  0.000
Pu  0.500  0.500  0.500
In  0.250  0.250  0.250
In  0.250  0.750  0.750
In  0.750  0.250  0.750
In  0.750  0.750  0.250
Sn  0.250  0.250  0.750
Sn  0.250  0.750  0.250
Sn  0.750  0.250  0.250
Sn  0.750  0.750  0.750

No. 6
First-principles (GGA-PBE) data for an optimized crystal structure of TbErPuIn, as listed in Alexandria via LeMat-Bulk.

Summary:
**Symmetry**: No. 216
**Calculated total energy**: -6.58 eV per atom
**E_form**: -0.04 eV/f.u.
**M_tot**: 26.3 μB per cell

Cell lengths 7.649, 7.649, 7.649 Å; angles 90.00, 90.00, 90.00 degrees
Positions (direct):
Tb  0.000  0.000  0.000
Tb  0.000  0.500  0.500
Tb  0.500  0.000  0.500
Tb  0.500  0.500  0.000
Er  0.250  0.250  0.250
Er  0.250  0.750  0.750
Er  0.750  0.250  0.750
Er  0.750  0.750  0.250
Pu  0.250  0.250  0.750
Pu  0.250  0.750  0.250
Pu  0.750  0.250  0.250
Pu  0.750  0.750  0.750
In  0.000  0.000  0.500
In  0.000  0.500  0.000
In  0.500  0.000  0.000
In  0.500  0.500  0.500

No. 7
First-principles (GGA-PBE) data for an optimized crystal structure of ErPuInTc, as listed in Alexandria via LeMat-Bulk.

Summary:
**Symmetry**: No. 216
**Calculated total energy**: -7.97 eV per atom
**E_form**: 0.12 eV/f.u.
**M_tot**: 19.5 μB per cell

Cell lengths 7.132, 7.132, 7.132 Å; angles 90.00, 90.00, 90.00 degrees
Positions (direct):
Er  0.000  0.000  0.000
Er  0.000  0.500  0.500
Er  0.500  0.000  0.500
Er  0.500  0.500  0.000
Pu  0.000  0.000  0.500
Pu  0.000  0.500  0.000
Pu  0.500  0.000  0.000
Pu  0.500  0.500  0.500
In  0.250  0.250  0.750
In  0.250  0.750  0.250
In  0.750  0.250  0.250
In  0.750  0.750  0.750
Tc  0.250  0.250  0.250
Tc  0.250  0.750  0.750
Tc  0.750  0.250  0.750
Tc  0.750  0.750  0.250

No. 8
First-principles (GGA-PBE) data for an optimized crystal structure of ErTmPuIn, as listed in Alexandria via LeMat-Bulk.

Summary:
**Symmetry**: No. 216
**Calculated total energy**: -6.57 eV per atom
**E_form**: -0.16 eV/f.u.
**M_tot**: 26.3 μB per cell

Cell lengths 7.573, 7.573, 7.573 Å; angles 90.00, 90.00, 90.00 degrees
Positions (direct):
Er  0.000  0.000  0.000
Er  0.000  0.500  0.500
Er  0.500  0.000  0.500
Er  0.500  0.500  0.000
Tm  0.000  0.000  0.500
Tm  0.000  0.500  0.000
Tm  0.500  0.000  0.000
Tm  0.500  0.500  0.500
Pu  0.250  0.250  0.250
Pu  0.250  0.750  0.750
Pu  0.750  0.250  0.750
Pu  0.750  0.750  0.250
In  0.250  0.250  0.750
In  0.250  0.750  0.250
In  0.750  0.250  0.250
In  0.750  0.750  0.750